# ScVNF2

A relaxed structure of ScVNF2 (GGA+U, Alexandria via LeMat-Bulk).

Unit cell a=3.912 b=3.912 c=4.138 alpha=90.00 beta=90.00 gamma=90.00
Atoms (fractional coordinates):
Sc  0.500  0.500  0.500
N  0.000  0.000  0.500
F  0.000  0.500  0.000
F  0.500  0.000  0.000
V  0.000  0.000  0.000

Space-group type = P4/mmm
Final energy = -33.266 eV per cell
Energy relative to the lowest polymorph listed for this composition = 147 meV per atom
N(E_F) = 2.94 states/eV/cell
Volume = 12.7 Å³ per atom